# 1
DFT (PBE) results for an optimized crystal structure of Mn2FeBr.

The structure belongs to space group R-3m (No. 166, hexagonal axes); the cell edges are 3.1338, 3.1338 and 22.6923 Å and the angles 90.00°, 90.00° and 120.00°. The asymmetric unit holds Mn at (0.0000, 0.0000, 0.2426), Fe at (0.0000, 0.0000, 0.5000) and Br at (0.0000, 0.0000, 0.0000).

The calculation puts the electronic total energy at -80.10 eV/cell. As for the total magnetic moment: 2.2615 μB/atom. As for the crystal system: trigonal. The value obtained for the density of states at the Fermi level is 5.70 states/eV per cell. The value obtained for the volume is 16.08 Å³ per atom. For the energy relative to the elements, uncorrected, the calculation gives 0.443 eV per atom.

=====

# 2
DFT (PBE) results for an optimized crystal structure of NaCdW2.

The structure belongs to space group I-42d (No. 122); the cell edges are 8.114, 8.114 and 4.998 Å and the angles 90.00°, 90.00° and 90.00°. The asymmetric unit holds Na at (0.000, 0.000, 0.000), Cd at (0.000, 0.000, 0.500) and W at (0.213, 0.250, 0.625).

The formation energy comes out at 164 kJ/mol of atoms. The calculation puts the electronic total energy at -85.37 eV/cell. As for the total magnetic moment: 0.0001 μB/atom. As for the crystal system: tetragonal. The value obtained for the density of states at the Fermi level is 15.78 states/eV per cell. The value obtained for the volume is 20.57 Å³ per atom.

=====

# 3
DFT (PBE) results for an optimized crystal structure of Sc2CrFe5B2.

The structure belongs to space group P4/mbm (No. 127); the cell edges are 8.778, 8.778 and 2.869 Å and the angles 90.00°, 90.00° and 90.00°. The asymmetric unit holds Sc at (0.175, 0.325, 0.000), Cr at (0.000, 0.000, 0.000), Fe at (0.000, 0.500, 0.500), Fe at (0.068, 0.787, 0.500) and B at (0.121, 0.621, 0.000).

The formation energy comes out at -29 kJ/mol of atoms. The calculation puts the electronic total energy at -161.89 eV/cell. As for the total magnetic moment: 0.1347 μB/atom. As for the crystal system: tetragonal. The value obtained for the density of states at the Fermi level is 16.77 states/eV per cell. The value obtained for the volume is 11.05 Å³ per atom.

=====

# 4
DFT (PBE) results for an optimized crystal structure of BeBiPt3.

The structure belongs to space group P6_3/mmc (No. 194); the cell edges are 3.7797, 3.7797 and 15.5225 Å and the angles 90.00°, 90.00° and 120.00°. The asymmetric unit holds Be at (0.3333, 0.6667, 0.2500), Bi at (0.0000, 0.0000, 0.0000), Pt at (0.0000, 0.0000, 0.2500) and Pt at (0.3333, 0.6667, 0.1122).

The formation energy comes out at 7 kJ/mol of atoms. The calculation puts the electronic total energy at -50.73 eV/cell. As for the total magnetic moment: 0.0000 μB/atom. As for the crystal system: hexagonal. The value obtained for the density of states at the Fermi level is 4.97 states/eV per cell. The value obtained for the volume is 19.20 Å³ per atom.

=====

# 5
DFT (PBE) results for an optimized crystal structure of Li2AlTeS4.

The structure belongs to space group P1 (No. 1); the cell edges are 5.587, 5.608 and 6.378 Å and the angles 115.28°, 115.06° and 90.98°. The asymmetric unit holds Li at (0.000, 0.000, 0.000), Li at (0.231, 0.768, 0.501), Al at (0.793, 0.208, 0.499), Te at (0.468, 0.534, 0.000), S at (0.185, 0.283, 0.485), S at (0.486, 0.064, 0.052), S at (0.722, 0.818, 0.514) and S at (0.939, 0.517, 0.947).

The calculation puts the electronic total energy at -33.32 eV/cell. As for the total magnetic moment: 0.0000 μB/atom. As for the crystal system: triclinic. The value obtained for the density of states at the Fermi level is 0.73 states/eV per cell. The value obtained for the volume is 19.86 Å³ per atom. For the energy relative to the elements, uncorrected, the calculation gives -0.763 eV per atom.

=====

# 6
DFT (PBE) results for an optimized crystal structure of TlFeHg2I.

The structure belongs to space group P4/mmm (No. 123); the cell edges are 5.880, 5.880 and 6.462 Å and the angles 90.00°, 90.00° and 90.00°. The asymmetric unit holds Tl at (0.000, 0.000, 0.000), Fe at (0.500, 0.500, 0.500), Hg at (0.000, 0.500, 0.000) and I at (0.000, 0.000, 0.500).

The calculation puts the electronic total energy at -8.95 eV/cell. As for the total magnetic moment: 0.8216 μB/atom. As for the crystal system: tetragonal. The value obtained for the density of states at the Fermi level is 10.14 states/eV per cell. The value obtained for the volume is 44.68 Å³ per atom. For the energy relative to the elements, uncorrected, the calculation gives 0.807 eV per atom.

=====

# 7
DFT (PBE) results for an optimized crystal structure of SrCaY2Pt.

The structure belongs to space group P4/mmm (No. 123); the cell edges are 5.518, 5.518 and 6.047 Å and the angles 90.00°, 90.00° and 90.00°. The asymmetric unit holds Sr at (0.000, 0.000, 0.000), Ca at (0.500, 0.500, 0.000), Y at (0.000, 0.500, 0.500) and Pt at (0.000, 0.000, 0.500).

The formation energy comes out at -36 kJ/mol of atoms. The calculation puts the electronic total energy at -24.50 eV/cell. As for the total magnetic moment: 0.0000 μB/atom. As for the crystal system: tetragonal. The value obtained for the density of states at the Fermi level is 5.92 states/eV per cell. The value obtained for the volume is 36.82 Å³ per atom.

=====

# 8
DFT (PBE) results for an optimized crystal structure of Ce3TmSe6.

The structure belongs to space group R-3 (No. 148, hexagonal axes); the cell edges are 12.8906, 12.8906 and 12.3124 Å and the angles 90.00°, 90.00° and 120.00°. The asymmetric unit holds Ce at (0.0533, 0.2799, 0.1596), Tm at (0.0000, 0.0000, 0.0000), Tm at (0.0000, 0.0000, 0.5000), Se at (0.0333, 0.2053, 0.8906) and Se at (0.0471, 0.2069, 0.3868).

The calculation puts the electronic total energy at -365.48 eV/cell. As for the total magnetic moment: 0.3020 μB/atom. As for the crystal system: trigonal. The value obtained for the density of states at the Fermi level is 120.31 states/eV per cell. The value obtained for the volume is 29.53 Å³ per atom. For the energy relative to the elements, uncorrected, the calculation gives -1.773 eV per atom.

=====

What is the total magnetic moment in the third record? 0.1347 μB/atom